No. 1
## SrPmTe (PBE)

Data for crystalline SrPmTe at its relaxed geometry.

Properties
The calculation puts the energy relative to the elements, uncorrected at -0.6901 eV/atom. The calculation puts the total energy at -0.28528 Ry per atom. The calculation puts the density of states at the Fermi level at 0.83 states/eV per atom. The magnetization comes out at 0.87 μB/cell.

The structure in POSCAR format:
```
SrPmTe
1.0
-2.0767 2.9276 9.3505
2.0767 -2.9276 9.3505
2.0767 2.9276 -9.3505
Sr Pm Te
2 2 2
Direct
0.1678 0.1678 0.0000 Sr
0.8322 0.8322 0.0000 Sr
0.2532 0.5000 0.7532 Pm
0.7468 0.5000 0.2468 Pm
0.3436 0.3436 0.0000 Te
0.6564 0.6564 0.0000 Te
```

***

No. 2
## Mn2AlB2Ir5 (PBE)

Data for crystalline Mn2AlB2Ir5 at its relaxed geometry.

Properties
The calculation puts the energy of formation at -0.397 eV per atom. The calculation puts the total energy at -0.61525 Ry per atom. The calculation puts the density of states at the Fermi level at 0.47 states/eV per atom. The magnetization comes out at 16.96 μB/cell.

The structure in POSCAR format:
```
Mn2AlB2Ir5
1.0
9.3988 0.0000 0.0000
0.0000 9.3988 0.0000
0.0000 0.0000 2.9199
Mn Al B Ir
4 2 4 10
Direct
0.1771 0.3229 0.0000 Mn
0.3229 0.8229 0.0000 Mn
0.6771 0.1771 0.0000 Mn
0.8229 0.6771 0.0000 Mn
0.0000 0.0000 0.0000 Al
0.5000 0.5000 0.0000 Al
0.1266 0.6266 0.0000 B
0.3734 0.1266 0.0000 B
0.6266 0.8734 0.0000 B
0.8734 0.3734 0.0000 B
0.0000 0.5000 0.5000 Ir
0.0708 0.7874 0.5000 Ir
0.2126 0.0708 0.5000 Ir
0.2874 0.5708 0.5000 Ir
0.4292 0.2874 0.5000 Ir
0.5000 0.0000 0.5000 Ir
0.5708 0.7126 0.5000 Ir
0.7126 0.4292 0.5000 Ir
0.7874 0.9292 0.5000 Ir
0.9292 0.2126 0.5000 Ir
```

***

No. 3
## TaCoCuRu (PBE)

Data for crystalline TaCoCuRu at its relaxed geometry.

Properties
The calculation puts the energy of formation at -0.148 eV per atom. The energy above the most stable polymorph in this dataset comes out at 0.0 meV/atom. The calculation puts the total energy at -0.60491 Ry per atom. The calculation puts the density of states at the Fermi level at 0.78 states/eV per atom. The magnetization comes out at 0.65 μB/cell.

The structure in POSCAR format:
```
TaCoCuRu
1.0
3.5427 0.0000 0.0000
0.0000 3.9003 0.0000
0.0000 0.0000 3.9068
Ta Co Cu Ru
1 1 1 1
Direct
0.0000 0.0000 0.0000 Ta
0.5000 0.0000 0.5000 Co
0.0000 0.5000 0.5000 Cu
0.5000 0.5000 0.0000 Ru
```

***

No. 4
## ZrHIr2 (PBE)

Data for crystalline ZrHIr2 at its relaxed geometry.

Properties
The energy above the most stable polymorph in this dataset comes out at 0.0 meV/atom. The calculation puts the total energy at -0.56204 Ry per atom. The calculation puts the density of states at the Fermi level at 0.37 states/eV per atom. The magnetization comes out at 0.00 μB/cell.

The structure in POSCAR format:
```
ZrHIr2
1.0
-2.7737 2.7737 3.6781
2.7737 -2.7737 3.6781
2.7737 2.7737 -3.6781
Zr H Ir
2 2 4
Direct
0.0000 0.0000 0.0000 Zr
0.7500 0.2500 0.5000 Zr
0.2500 0.7500 0.5000 H
0.5000 0.5000 0.0000 H
0.2883 0.6250 0.1633 Ir
0.3750 0.5383 0.6633 Ir
0.4617 0.1250 0.8367 Ir
0.8750 0.7117 0.3367 Ir
```

***

No. 5
## VAsPdBr2 (PBE)

Data for crystalline VAsPdBr2 at its relaxed geometry.

Properties
The calculation puts the energy relative to the elements, uncorrected at 0.3533 eV/atom. The energy above the most stable polymorph in this dataset comes out at 0.0 meV/atom. The calculation puts the total energy at -0.30193 Ry per atom. The calculation puts the density of states at the Fermi level at 1.13 states/eV per atom. The magnetization comes out at 0.00 μB/cell.

The structure in POSCAR format:
```
VAsPdBr2
1.0
4.9201 0.0000 0.0000
0.0000 4.9201 0.0000
0.0000 0.0000 4.8406
V As Pd Br
1 1 1 2
Direct
0.0000 0.0000 0.0000 V
0.0000 0.0000 0.5000 As
0.5000 0.5000 0.5000 Pd
0.0000 0.5000 0.0000 Br
0.5000 0.0000 0.0000 Br
```

***

No. 6
## MnVInTc2 (PBE)

Data for crystalline MnVInTc2 at its relaxed geometry.

Properties
The calculation puts the energy of formation at 2.076 eV per atom. The calculation puts the total energy at -0.46125 Ry per atom. The calculation puts the density of states at the Fermi level at 0.79 states/eV per atom. The magnetization comes out at 5.02 μB/cell.

The structure in POSCAR format:
```
MnVInTc2
1.0
4.9485 0.0000 0.0000
0.0000 4.9485 0.0000
0.0000 0.0000 4.7510
Mn V In Tc
1 1 1 2
Direct
0.0000 0.0000 0.0000 Mn
0.5000 0.5000 0.0000 V
0.0000 0.0000 0.5000 In
0.0000 0.5000 0.5000 Tc
0.5000 0.0000 0.5000 Tc
```

***

- magnetization of number 4 (ZrHIr2)?
  0.00 μB/cell

***

- Number 1 is which compound?
  SrPmTe